Record 1
NaZrHg2: relaxed, PBE.

Properties
Theoretical density: 8.546 g cm⁻³
Formation enthalpy at 0 K: 0.178 eV per atom
Calculated total energy: -2.44 eV per atom

Cell: 3.1814 3.1814 34.2748 Å, 90.00 90.00 120.00°
With the nearest neighbours (Å) after each atom.
Space group R-3m (No. 166, hexagonal axes)
Symmetry-distinct sites (fractional):
Na: 0.0000 0.0000 0.0000 [3 per cell]  6 Na 3.18, 6 Hg 3.23
Zr: 0.0000 0.0000 0.5000 [3 per cell]  2 Hg 3.05, 6 Zr 3.18
Hg: 0.0000 0.0000 0.4109 [6 per cell]  1 Zr 3.05, 6 Hg 3.18, 3 Na 3.23

Record 2
CoAg2Au: relaxed, PBE.

Properties
Theoretical density: 12.021 g cm⁻³
ΔE to the lowest computed polymorph: 44 meV per atom
Formation enthalpy at 0 K: 0.245 eV per atom
Calculated total energy: -3.78 eV per atom

Cell: 2.8307 2.8307 8.1302 Å, 90.00 90.00 90.00°
With the nearest neighbours (Å) after each atom.
Space group P4/mmm (No. 123)
Symmetry-distinct sites (fractional):
Co: 0.0000 0.0000 0.0000 [1 per cell]  8 Ag 2.74, 4 Co 2.83
Ag: 0.5000 0.5000 0.2300 [2 per cell]  4 Co 2.74, 4 Ag 2.83, 4 Au 2.97
Au: 0.0000 0.0000 0.5000 [1 per cell]  4 Au 2.83, 8 Ag 2.97

Record 3
La4PPb2: relaxed, PBE.

Properties
Theoretical density: 6.320 g cm⁻³
ΔE to the lowest computed polymorph: 509 meV per atom
Formation enthalpy at 0 K: -0.322 eV per atom
Calculated total energy: -4.97 eV per atom

Cell: 5.3728 5.3728 18.2204 Å, 90.00 90.00 90.00°
With the nearest neighbours (Å) after each atom.
Space group I4/mmm (No. 139)
Symmetry-distinct sites (fractional):
La: 0.0000 0.0000 0.1713 [4 per cell]  1 Pb 3.21
La: 0.0000 0.5000 0.0000 [4 per cell]  2 P 2.69
P: 0.0000 0.0000 0.5000 [2 per cell]  4 La 2.69, 2 Pb 2.78
Pb: 0.0000 0.0000 0.3473 [4 per cell]  1 P 2.78

Record 4
LaSnRhN: relaxed, PBE.

Properties
Theoretical density: 7.754 g cm⁻³
Formation energy without anion corrections: -0.730 eV per atom
Calculated total energy: -6.88 eV per atom

Cell: 4.1110 4.1110 9.4923 Å, 90.00 90.00 90.00°
With the nearest neighbours (Å) after each atom.
Space group P4/nmm (No. 129, origin choice 2)
Symmetry-distinct sites (fractional):
La: 0.2500 0.2500 0.1336 [2 per cell]  1 N 2.27
Sn: 0.2500 0.2500 0.6653 [2 per cell]  1 N 2.17
Rh: 0.2500 0.7500 0.5000 [2 per cell]  4 Sn 2.59
N: 0.2500 0.2500 0.8944 [2 per cell]  1 Sn 2.17, 1 La 2.27